No. 1
Here is a relaxed BaScPb2 crystal from Alexandria. Energies are from GGA-PBE.

Structure (extended XYZ):
```
4
Lattice="-3.853 4.028 1.026 -5.436 -1.408 0.768 -2.341 0.438 5.142" Properties=species:S:1:pos:R:3 pbc="T T T"
Ba -5.815 1.529 3.468
Pb 0.000 0.000 0.000
Pb -2.907 0.764 1.734
Sc -8.722 2.293 5.202
```

## Properties
The calculation puts the density of states at the Fermi level at 5.01 states/eV per cell. Its crystal system is cubic. The formation energy comes out at 0.1 eV per formula unit.

***

No. 2
Here is a relaxed Ta3Co5 crystal from Alexandria. Energies are from GGA-PBE.

Structure (extended XYZ):
```
8
Lattice="-0.778 4.145 -3.063 -5.136 0.477 0.748 0.667 2.384 3.057" Properties=species:S:1:pos:R:3 pbc="T T T"
Co 0.000 0.000 0.000
Co -2.568 0.238 0.374
Co -0.389 2.072 -1.532
Co -1.657 4.316 -0.474
Co -3.590 2.689 1.216
Ta -2.957 2.311 -1.157
Ta -0.903 2.159 1.044
Ta -4.343 4.847 -0.302
```

## Properties
The calculation puts the density of states at the Fermi level at 7.51 states/eV per cell. Its crystal system is orthorhombic. The formation energy comes out at -1.4 eV per formula unit.

***

No. 3
Here is a relaxed Ca2Al4Si3Ag crystal from Alexandria. Energies are from GGA-PBE.

Structure (extended XYZ):
```
10
Lattice="-4.145 -1.438 0.493 1.422 -4.174 -0.218 1.249 -0.107 10.195" Properties=species:S:1:pos:R:3 pbc="T T T"
Ca -1.752 -0.746 2.864
Ca 1.640 -2.166 7.468
Al -1.361 -2.806 0.137
Al 0.000 0.000 0.000
Al -1.285 -0.786 6.672
Al 1.173 -2.126 3.660
Si 0.625 -0.053 5.097
Si -0.982 -0.812 9.139
Si 0.871 -2.100 1.193
Ag -0.737 -2.859 5.235
```

## Properties
For the uncorrected formation energy, the calculation gives -213 meV per atom. The calculation puts the density of states at the Fermi level at 3.92 states/eV per cell. Its crystal system is tetragonal.

***

No. 4
Here is a relaxed TaOsPb crystal from Alexandria. Energies are from GGA-PBE.

Structure (extended XYZ):
```
3
Lattice="-2.077 -3.315 -2.269 1.402 -1.122 -4.151 2.113 -3.939 -0.686" Properties=species:S:1:pos:R:3 pbc="T T T"
Pb 0.719 -4.188 -3.553
Os 0.000 0.000 0.000
Ta 1.079 -6.282 -5.329
```

## Properties
The calculation puts the density of states at the Fermi level at 2.29 states/eV per cell. Its crystal system is cubic. The formation energy comes out at 2.5 eV per formula unit.

***

No. 5
Here is a relaxed BeInTe2 crystal from Alexandria. Energies are from GGA-PBE.

Structure (extended XYZ):
```
4
Lattice="-4.296 -2.418 -1.105 3.890 -0.824 3.116 -3.796 4.086 5.819" Properties=species:S:1:pos:R:3 pbc="T T T"
Be -1.152 -0.599 2.460
Te -0.173 0.186 0.265
Te -1.725 1.857 2.645
In -3.050 1.444 5.370
```

## Properties
For the uncorrected formation energy, the calculation gives 120 meV per atom. The calculation puts the density of states at the Fermi level at 1.26 states/eV per cell. Its crystal system is orthorhombic.

***

No. 6
Here is a relaxed AgOs2Pt crystal from Alexandria. Energies are from GGA-PBE.

Structure (extended XYZ):
```
4
Lattice="4.451 0.000 0.000 2.226 3.855 0.000 2.226 1.285 3.634" Properties=species:S:1:pos:R:3 pbc="T T T"
Os 0.000 0.000 0.000
Os 6.677 3.855 2.726
Ag 4.451 2.570 1.817
Pt 2.226 1.285 0.909
```

## Properties
The calculation puts the density of states at the Fermi level at 5.05 states/eV per cell. Its crystal system is cubic. The formation energy comes out at 3.1 eV per formula unit.

***

No. 7
Here is a relaxed CuSnSe3 crystal from Alexandria. Energies are from GGA-PBE.

Structure (extended XYZ):
```
10
Lattice="-3.211 5.659 0.914 -5.640 1.128 -3.180 -4.882 -1.008 5.888" Properties=species:S:1:pos:R:3 pbc="T T T"
Cu -4.179 -0.435 4.840
Cu -3.914 5.087 1.962
Sn -5.898 4.526 -1.509
Sn -2.953 2.261 -0.757
Se -6.095 3.371 5.184
Se -1.998 1.281 1.617
Se -5.991 0.095 3.472
Se -8.797 2.419 2.847
Se -7.742 5.684 0.150
Se -4.937 3.361 0.774
```

## Properties
For the uncorrected formation energy, the calculation gives -181 meV per atom. The calculation puts the density of states at the Fermi level at 7.63 states/eV per cell. Its crystal system is monoclinic.

***

No. 8
Here is a relaxed Rb2HgGePt crystal from Alexandria. Energies are from GGA-PBE.

Structure (extended XYZ):
```
5
Lattice="-4.962 4.417 0.220 -3.904 -4.531 2.900 1.467 1.438 4.221" Properties=species:S:1:pos:R:3 pbc="T T T"
Rb -1.952 -2.265 1.450
Rb -2.481 2.208 0.110
Ge 0.733 0.719 2.110
Hg -3.700 0.662 3.670
Pt 0.000 0.000 0.000
```

## Properties
The calculation puts the density of states at the Fermi level at 3.67 states/eV per cell. Its crystal system is tetragonal. The formation energy comes out at -0.9 eV per formula unit.

***

No. 9
Here is a relaxed SrCuNi2 crystal from Alexandria. Energies are from GGA-PBE.

Structure (extended XYZ):
```
4
Lattice="4.135 0.000 0.000 0.000 3.096 -0.014 0.000 1.282 5.550" Properties=species:S:1:pos:R:3 pbc="T T T"
Cu 2.068 3.284 4.152
Ni 0.000 4.113 5.070
Ni 0.000 2.454 3.235
Sr 2.068 1.095 1.384
```

## Properties
The calculation puts the density of states at the Fermi level at 3.79 states/eV per cell. Its crystal system is monoclinic. The formation energy comes out at 1.3 eV per formula unit.

***

No. 10
Here is a relaxed SrCd2CuBi crystal from Alexandria. Energies are from GGA-PBE.

Structure (extended XYZ):
```
5
Lattice="5.043 0.000 0.000 0.000 5.043 0.000 0.000 0.000 5.579" Properties=species:S:1:pos:R:3 pbc="T T T"
Sr 2.521 2.521 2.789
Bi 0.000 0.000 2.789
Cu 0.000 0.000 0.000
Cd 0.000 2.521 0.000
Cd 2.521 0.000 0.000
```

## Properties
The calculation puts the density of states at the Fermi level at 2.17 states/eV per cell. Its crystal system is tetragonal. The formation energy comes out at -0.8 eV per formula unit.

***

No. 11
Here is a relaxed Ti3MoAu crystal from Alexandria. Energies are from GGA-PBE.

Structure (extended XYZ):
```
15
Lattice="6.342 0.000 0.000 0.000 6.342 0.000 0.000 0.000 6.342" Properties=species:S:1:pos:R:3 pbc="T T T"
Ti 3.171 3.171 3.171
Ti 1.499 1.499 1.499
Ti 4.842 4.842 1.499
Ti 4.842 1.499 4.842
Ti 1.499 4.842 4.842
Ti 1.499 1.499 4.842
Ti 4.842 4.842 4.842
Ti 1.499 4.842 1.499
Ti 4.842 1.499 1.499
Mo 3.171 0.000 0.000
Mo 0.000 3.171 0.000
Mo 0.000 0.000 3.171
Au 0.000 3.171 3.171
Au 3.171 0.000 3.171
Au 3.171 3.171 0.000
```

## Properties
The calculation puts the density of states at the Fermi level at 16.96 states/eV per cell. Its crystal system is cubic. The formation energy comes out at -0.5 eV per formula unit.

***

No. 12
Here is a relaxed Mg5IrAu2 crystal from Alexandria. Energies are from GGA-PBE.

Structure (extended XYZ):
```
16
Lattice="4.472 0.000 0.000 0.000 5.703 0.000 0.000 0.000 11.236" Properties=species:S:1:pos:R:3 pbc="T T T"
Mg 2.236 1.882 1.169
Mg 2.236 3.821 10.066
Mg 2.236 4.734 4.448
Mg 2.236 0.970 6.787
Mg 0.000 5.129 8.241
Mg 0.000 0.575 2.995
Mg 0.000 2.277 8.613
Mg 0.000 3.426 2.623
Mg 0.000 2.852 5.618
Mg 0.000 0.000 0.000
Ir 0.000 0.000 5.618
Ir 0.000 2.852 0.000
Au 2.236 1.925 4.064
Au 2.236 3.779 7.172
Au 2.236 0.927 9.682
Au 2.236 4.776 1.554
```

## Properties
The calculation puts the density of states at the Fermi level at 4.62 states/eV per cell. Its crystal system is orthorhombic. The formation energy comes out at -3.6 eV per formula unit.

***

No. 13
Here is a relaxed La5Sm4In4 crystal from Alexandria. Energies are from GGA-PBE.

Structure (extended XYZ):
```
13
Lattice="-0.112 -4.515 2.651 1.680 -6.763 -6.276 8.779 -1.541 2.918" Properties=species:S:1:pos:R:3 pbc="T T T"
La 7.674 -10.340 -1.771
La 2.673 -2.478 1.064
La 0.000 0.000 0.000
La 1.961 -7.645 -2.593
La 8.386 -5.174 1.886
Sm 6.882 -8.435 1.440
Sm 4.653 -5.506 1.163
Sm 3.465 -4.383 -2.147
Sm 5.695 -7.312 -1.869
In 1.623 -5.966 0.252
In 8.724 -6.852 -0.959
In 4.372 -10.451 -2.099
In 5.975 -2.367 1.392
```

## Properties
The calculation puts the density of states at the Fermi level at 16.73 states/eV per cell. Its crystal system is tetragonal. The formation energy comes out at -4.1 eV per formula unit.

***

No. 14
Here is a relaxed YScGa crystal from Alexandria. Energies are from GGA-PBE.

Structure (extended XYZ):
```
18
Lattice="-6.884 -2.522 -2.329 -1.740 -2.515 7.866 1.676 8.491 -1.442" Properties=species:S:1:pos:R:3 pbc="T T T"
Y -4.273 3.017 -2.244
Y -2.082 0.654 6.540
Y -3.688 -2.758 5.093
Y -1.142 6.988 -0.282
Y -1.212 1.911 2.607
Y -5.144 1.760 1.689
Sc -0.045 -0.017 -0.015
Sc 0.760 7.217 2.475
Sc -2.840 4.140 0.696
Sc -5.851 -1.325 2.809
Sc -4.981 -0.068 -1.123
Sc -3.710 2.883 4.628
Ga -3.944 5.962 -1.230
Ga -6.490 -3.785 4.145
Ga -2.623 1.352 -0.147
Ga -0.929 3.346 5.391
Ga -0.059 4.603 1.459
Ga -3.493 0.095 3.785
```

## Properties
The calculation puts the density of states at the Fermi level at 16.96 states/eV per cell. Its crystal system is hexagonal. The formation energy comes out at -1.4 eV per formula unit.

***

No. 15
Here is a relaxed BaMnRu crystal from Alexandria. Energies are from GGA-PBE.

Structure (extended XYZ):
```
3
Lattice="6.358 -0.238 0.000 4.665 4.326 0.000 -5.512 -2.044 2.434" Properties=species:S:1:pos:R:3 pbc="T T T"
Ba 0.042 0.015 0.000
Mn 3.099 1.149 0.000
Ru 7.883 2.923 0.000
```

## Properties
The calculation puts the density of states at the Fermi level at 3.48 states/eV per cell. Its crystal system is tetragonal. The formation energy comes out at 1.6 eV per formula unit.

***

No. 16
Here is a relaxed CrCuMo2 crystal from Alexandria. Energies are from GGA-PBE.

Structure (extended XYZ):
```
4
Lattice="3.550 -0.497 2.356 0.489 -3.501 2.431 2.894 -2.976 -1.083" Properties=species:S:1:pos:R:3 pbc="T T T"
Cr 0.000 0.000 0.000
Mo 1.733 -1.743 0.926
Mo 5.200 -5.230 2.778
Cu 3.466 -3.487 1.852
```

## Properties
The calculation puts the density of states at the Fermi level at 3.15 states/eV per cell. Its crystal system is cubic. The formation energy comes out at 1.4 eV per formula unit.

***

No. 17
Here is a relaxed PbSe2Br crystal from Alexandria. Energies are from GGA-PBE.

Structure (extended XYZ):
```
4
Lattice="4.270 0.000 0.000 0.000 4.270 0.000 0.000 0.000 6.515" Properties=species:S:1:pos:R:3 pbc="T T T"
Br 2.135 2.135 1.629
Pb 2.135 2.135 4.886
Se 0.000 0.000 6.084
Se 0.000 0.000 3.689
```

## Properties
For the uncorrected formation energy, the calculation gives -131 meV per atom. The calculation puts the density of states at the Fermi level at 5.17 states/eV per cell. Its crystal system is tetragonal.

***

| no. | calculated density (kg/m3) | total energy (eV/f.u.) |
| --- | --- | --- |
| 1 | 7699 | -15.54 |
| 2 | 13137 | -72.49 |
| 3 | 3154 | -40.22 |
| 4 | 14685 | -24.31 |
| 5 | 4355 | -12.27 |
| 6 | 18196 | -28.28 |
| 7 | 5062 | -19.46 |
| 8 | 5119 | -13.81 |
| 9 | 6268 | -16.05 |
| 10 | 6847 | -12.25 |
| 11 | 8527 | -38.31 |
| 12 | 8202 | -26.98 |
| 13 | 6863 | -58.55 |
| 14 | 4690 | -17.24 |
| 15 | 6992 | -18.73 |
| 16 | 9145 | -34.00 |
| 17 | 6220 | -12.88 |